1.
Below is a PBEsol-optimized structure of CoI2NCl, with properties calculated at the SCAN level.

Geometry as POSCAR:
```
CoI2NCl
1.0
-1.502 -2.673 1.418
3.331 -3.324 -2.737
3.561 0.182 4.114
I N Co Cl
2 1 1 1
direct
0.000 0.000 0.500 I
0.000 0.500 0.000 I
0.500 0.000 0.000 N
0.000 0.000 0.000 Co
0.500 0.500 0.500 Cl
```

Results
* uncorrected formation energy: 562 meV/atom
* calculated volume: 100.1 Å³ per cell
* size of the total moment: 0.00 μB per formula unit
* symmetry: No. 123
* DOS(E_F): 4.45 states/eV per cell



2.
Below is a PBEsol-optimized structure of CoS2ICl, with properties calculated at the SCAN level.

Geometry as POSCAR:
```
CoS2ICl
1.0
-0.681 -0.855 -5.013
5.040 -0.791 -0.549
-0.667 -4.893 0.925
I S Co Cl
1 2 1 1
direct
0.000 0.000 0.000 I
0.000 0.500 0.000 S
0.500 0.000 0.000 S
0.500 0.500 0.500 Co
0.000 0.000 0.500 Cl
```

Results
* uncorrected formation energy: 1090 meV/atom
* calculated volume: 132.2 Å³ per cell
* size of the total moment: 2.71 μB per formula unit
* symmetry: No. 123
* DOS(E_F): 5.28 states/eV per cell



3.
Below is a PBEsol-optimized structure of CoTeI2Cl, with properties calculated at the SCAN level.

Geometry as POSCAR:
```
CoTeI2Cl
1.0
4.809 0.000 0.000
0.000 5.182 0.000
0.000 0.000 5.182
I Te Co Cl
2 1 1 1
direct
0.000 0.000 0.500 I
0.000 0.500 0.000 I
0.500 0.000 0.000 Te
0.000 0.000 0.000 Co
0.500 0.500 0.500 Cl
```

Results
* uncorrected formation energy: 309 meV/atom
* calculated volume: 129.1 Å³ per cell
* size of the total moment: 1.91 μB per formula unit
* symmetry: No. 123
* DOS(E_F): 3.89 states/eV per cell



4.
Below is a PBEsol-optimized structure of InCoCl, with properties calculated at the SCAN level.

Geometry as POSCAR:
```
InCoCl
1.0
4.635 0.000 0.000
2.318 4.014 0.000
2.318 1.338 3.785
Cl Co In
1 1 1
direct
0.000 0.000 0.000 Cl
0.500 0.500 0.500 Co
0.250 0.250 0.250 In
```

Results
* uncorrected formation energy: 436 meV/atom
* calculated volume: 70.4 Å³ per cell
* size of the total moment: 2.49 μB per formula unit
* symmetry: No. 216
* DOS(E_F): 1.51 states/eV per cell



5.
Below is a PBEsol-optimized structure of InCoCl2, with properties calculated at the SCAN level.

Geometry as POSCAR:
```
InCoCl2
1.0
3.257 0.000 0.000
0.000 5.363 0.000
-1.629 -2.681 4.725
Cl Co In
2 1 1
direct
0.828 0.828 0.656 Cl
0.172 0.172 0.344 Cl
0.500 0.000 0.000 Co
0.000 0.500 0.000 In
```

Results
* uncorrected formation energy: -513 meV/atom
* calculated volume: 82.5 Å³ per cell
* size of the total moment: 2.19 μB per formula unit
* symmetry: No. 71
* DOS(E_F): 1.92 states/eV per cell
* ΔE to the lowest computed polymorph: 124.5 meV per atom



6.
Below is a PBEsol-optimized structure of InCoCl2, with properties calculated at the SCAN level.

Geometry as POSCAR:
```
InCoCl2
1.0
3.394 0.000 0.000
-1.697 2.946 0.000
0.000 0.000 8.587
Cl Co In
2 1 1
direct
0.000 0.000 0.952 Cl
0.500 0.000 0.328 Cl
0.000 0.000 0.494 Co
0.500 0.000 0.727 In
```

Results
* uncorrected formation energy: -414 meV/atom
* calculated volume: 85.9 Å³ per cell
* size of the total moment: 1.96 μB per formula unit
* symmetry: No. 35
* DOS(E_F): 0.83 states/eV per cell
* ΔE to the lowest computed polymorph: 224.0 meV per atom



7.
Below is a PBEsol-optimized structure of In2CoCl, with properties calculated at the SCAN level.

Geometry as POSCAR:
```
In2CoCl
1.0
2.940 0.000 0.000
0.000 5.141 0.000
-1.470 -2.571 5.137
Cl Co In
1 1 2
direct
0.567 0.567 0.133 Cl
0.240 0.740 0.479 Co
0.954 0.954 0.908 In
0.740 0.240 0.480 In
```

Results
* uncorrected formation energy: -47 meV/atom
* calculated volume: 77.7 Å³ per cell
* size of the total moment: 1.83 μB per formula unit
* symmetry: No. 44
* DOS(E_F): 1.91 states/eV per cell
* ΔE to the lowest computed polymorph: 133.6 meV per atom



8.
Below is a PBEsol-optimized structure of In2CoCl, with properties calculated at the SCAN level.

Geometry as POSCAR:
```
In2CoCl
1.0
-2.595 1.139 -1.272
-1.699 -2.142 1.549
-0.745 4.855 5.898
Cl Co In
1 1 2
direct
0.500 0.500 0.000 Cl
0.000 0.500 0.500 Co
0.501 0.000 0.698 In
0.499 0.000 0.302 In
```

Results
* uncorrected formation energy: -181 meV/atom
* calculated volume: 74.9 Å³ per cell
* size of the total moment: 1.50 μB per formula unit
* symmetry: No. 10
* DOS(E_F): 0.95 states/eV per cell
* ΔE to the lowest computed polymorph: 0.0 meV per atom



9.
Below is a PBEsol-optimized structure of In2CoCl, with properties calculated at the SCAN level.

Geometry as POSCAR:
```
In2CoCl
1.0
3.299 0.000 0.000
1.649 5.204 0.028
1.649 2.249 4.693
Cl Co In
1 1 2
direct
0.500 0.000 0.000 Cl
0.000 0.500 0.500 Co
0.274 0.726 0.726 In
0.726 0.274 0.274 In
```

Results
* uncorrected formation energy: 136 meV/atom
* calculated volume: 80.3 Å³ per cell
* size of the total moment: 1.81 μB per formula unit
* symmetry: No. 71
* DOS(E_F): 1.39 states/eV per cell
* ΔE to the lowest computed polymorph: 316.1 meV per atom



10.
Below is a PBEsol-optimized structure of InCoCl2, with properties calculated at the SCAN level.

Geometry as POSCAR:
```
InCoCl2
1.0
-1.768 -2.757 0.888
0.345 -2.878 -1.765
5.548 -4.162 4.610
Cl Co In
2 1 1
direct
0.983 0.983 0.052 Cl
0.781 0.781 0.656 Cl
0.496 0.496 0.511 Co
0.240 0.240 0.280 In
```

Results
* uncorrected formation energy: -638 meV/atom
* calculated volume: 80.7 Å³ per cell
* size of the total moment: 2.00 μB per formula unit
* symmetry: No. 160
* ΔE to the lowest computed polymorph: 0.0 meV per atom



11.
Below is a PBEsol-optimized structure of InCoCl2, with properties calculated at the SCAN level.

Geometry as POSCAR:
```
InCoCl2
1.0
3.201 0.000 0.000
1.601 5.297 0.230
1.601 1.781 4.993
Cl Co In
2 1 1
direct
0.029 0.971 0.971 Cl
0.190 0.310 0.310 Cl
0.508 0.492 0.492 Co
0.772 0.728 0.728 In
```

Results
* uncorrected formation energy: -470 meV/atom
* calculated volume: 83.3 Å³ per cell
* size of the total moment: 1.98 μB per formula unit
* symmetry: No. 44
* DOS(E_F): 0.07 states/eV per cell
* ΔE to the lowest computed polymorph: 167.5 meV per atom



12.
Below is a PBEsol-optimized structure of CoIrS2Cl, with properties calculated at the SCAN level.

Geometry as POSCAR:
```
CoIrS2Cl
1.0
-2.195 1.634 -3.607
0.687 -3.905 -2.187
-4.202 -1.732 1.772
S Ir Co Cl
2 1 1 1
direct
0.000 0.500 0.000 S
0.500 0.000 0.000 S
0.000 0.000 0.000 Ir
0.500 0.500 0.500 Co
0.000 0.000 0.500 Cl
```

Results
* uncorrected formation energy: 652 meV/atom
* calculated volume: 100.0 Å³ per cell
* size of the total moment: 3.25 μB per formula unit
* symmetry: No. 123
* DOS(E_F): 4.99 states/eV per cell



13.
Below is a PBEsol-optimized structure of Sc2CoIrCl, with properties calculated at the SCAN level.

Geometry as POSCAR:
```
Sc2CoIrCl
1.0
4.339 0.000 0.000
0.000 4.592 0.000
0.000 0.000 4.592
Sc Ir Co Cl
2 1 1 1
direct
0.000 0.000 0.500 Sc
0.000 0.500 0.000 Sc
0.500 0.000 0.000 Ir
0.500 0.500 0.500 Co
0.000 0.000 0.000 Cl
```

Results
* uncorrected formation energy: 151 meV/atom
* calculated volume: 91.5 Å³ per cell
* size of the total moment: 1.52 μB per formula unit
* symmetry: No. 123
* DOS(E_F): 3.35 states/eV per cell



14.
Below is a PBEsol-optimized structure of ZrCoIr2Cl, with properties calculated at the SCAN level.

Geometry as POSCAR:
```
ZrCoIr2Cl
1.0
4.349 0.000 0.000
0.000 4.349 0.000
0.000 0.000 4.530
Ir Co Zr Cl
2 1 1 1
direct
0.000 0.500 0.000 Ir
0.500 0.000 0.000 Ir
0.500 0.500 0.500 Co
0.000 0.000 0.500 Zr
0.000 0.000 0.000 Cl
```

Results
* uncorrected formation energy: 1010 meV/atom
* calculated volume: 85.7 Å³ per cell
* size of the total moment: 1.87 μB per formula unit
* symmetry: No. 123
* DOS(E_F): 3.28 states/eV per cell



15.
Below is a PBEsol-optimized structure of KCo2Cl, with properties calculated at the SCAN level.

Geometry as POSCAR:
```
KCo2Cl
1.0
3.161 0.000 0.000
1.580 5.530 -0.061
1.580 2.376 4.994
K Co Cl
1 2 1
direct
0.527 0.473 0.473 K
0.999 0.001 0.001 Co
0.659 0.841 0.841 Co
0.315 0.185 0.185 Cl
```

Results
* uncorrected formation energy: 203 meV/atom
* calculated volume: 87.7 Å³ per cell
* size of the total moment: 4.00 μB per formula unit
* symmetry: No. 44
* ΔE to the lowest computed polymorph: 19.9 meV per atom